First-principles (PBE) data for a relaxed Cs2LaPO crystal, as listed in Alexandria via LeMat-Bulk.

a = 4.868 Å, b = 6.371 Å, c = 6.629 Å
α = 75.03°, β = 89.79°, γ = 89.23°
Fractional coordinates of all 5 atoms:
Cs1 0.000 0.000 0.000
Cs2 0.493 0.435 0.170
La1 0.989 0.633 0.604
P1 0.485 0.873 0.476
O1 0.992 0.507 0.920

Its formation energy from raw total energies is -1.17 eV per atom. As for the volume: 198.61 Å³/cell. Its total energy is -4.57 eV/atom.

First-principles (PBE) data for a relaxed CsLaP2O crystal, as listed in Alexandria via LeMat-Bulk.

a = 5.359 Å, b = 5.359 Å, c = 4.420 Å
α = 90.00°, β = 90.00°, γ = 90.00°
Fractional coordinates of all 5 atoms:
Cs1 0.000 0.000 0.000
La1 0.500 0.500 0.500
P1 0.000 0.500 0.000
P2 0.500 0.000 0.000
O1 0.000 0.000 0.500

Its formation energy from raw total energies is 0.43 eV per atom. As for the volume: 126.94 Å³/cell. Its total energy is -3.88 eV/atom.

First-principles (PBE) data for a relaxed Cs3LaP2O8 crystal, as listed in Alexandria via LeMat-Bulk.

a = 5.982 Å, b = 5.982 Å, c = 8.778 Å
α = 90.00°, β = 90.00°, γ = 120.00°
Fractional coordinates of all 14 atoms:
Cs1 0.000 0.000 0.000
Cs2 0.333 0.667 0.770
Cs3 0.667 0.333 0.230
La1 0.000 0.000 0.500
P1 0.333 0.667 0.281
P2 0.667 0.333 0.719
O1 0.191 0.382 0.342
O2 0.191 0.809 0.342
O3 0.333 0.667 0.106
O4 0.382 0.191 0.658
O5 0.618 0.809 0.342
O6 0.667 0.333 0.894
O7 0.809 0.191 0.658
O8 0.809 0.618 0.658

Its formation energy from raw total energies is -2.55 eV per atom. As for the volume: 272.01 Å³/cell. Its total energy is -6.69 eV/atom.

First-principles (PBE) data for a relaxed CsLaP2O crystal, as listed in Alexandria via LeMat-Bulk.

a = 6.138 Å, b = 6.138 Å, c = 4.465 Å
α = 90.00°, β = 90.00°, γ = 90.00°
Fractional coordinates of all 5 atoms:
Cs1 0.000 0.000 0.000
La1 0.500 0.500 0.500
P1 0.000 0.500 0.500
P2 0.500 0.000 0.500
O1 0.500 0.500 0.000

Its formation energy from raw total energies is -0.51 eV per atom. As for the volume: 168.25 Å³/cell. Its total energy is -4.82 eV/atom.

First-principles (PBE) data for a relaxed Cs2LaPO crystal, as listed in Alexandria via LeMat-Bulk.

a = 8.933 Å, b = 8.933 Å, c = 8.933 Å
α = 32.82°, β = 32.82°, γ = 32.82°
Fractional coordinates of all 5 atoms:
Cs1 0.000 0.000 0.000
Cs2 0.222 0.222 0.222
La1 0.786 0.786 0.786
P1 0.418 0.418 0.418
O1 0.868 0.868 0.868

Its formation energy from raw total energies is -1.30 eV per atom. As for the volume: 186.34 Å³/cell. Its total energy is -4.70 eV/atom.

First-principles (PBE) data for a relaxed Cs2LaPO crystal, as listed in Alexandria via LeMat-Bulk.

a = 4.871 Å, b = 4.871 Å, c = 10.834 Å
α = 104.94°, β = 104.94°, γ = 60.18°
Fractional coordinates of all 5 atoms:
Cs1 0.000 0.000 0.000
Cs2 0.225 0.225 0.594
La1 0.775 0.775 0.286
P1 0.481 0.481 0.389
O1 0.699 0.699 0.086

Its formation energy from raw total energies is -1.29 eV per atom. As for the volume: 212.87 Å³/cell. Its total energy is -4.70 eV/atom.

First-principles (PBE) data for a relaxed Cs2LaPO crystal, as listed in Alexandria via LeMat-Bulk.

a = 4.939 Å, b = 4.939 Å, c = 9.831 Å
α = 90.00°, β = 90.00°, γ = 120.00°
Fractional coordinates of all 5 atoms:
Cs1 0.000 0.000 0.000
Cs2 0.333 0.667 0.386
La1 0.667 0.333 0.684
P1 0.333 0.667 0.785
O1 0.667 0.333 0.475

Its formation energy from raw total energies is -1.31 eV per atom. As for the volume: 207.64 Å³/cell. Its total energy is -4.71 eV/atom.

First-principles (PBE) data for a relaxed Cs2LaPO crystal, as listed in Alexandria via LeMat-Bulk.

a = 4.217 Å, b = 4.226 Å, c = 9.006 Å
α = 86.83°, β = 89.22°, γ = 89.72°
Fractional coordinates of all 5 atoms:
Cs1 0.000 0.000 0.000
Cs2 0.492 0.466 0.316
La1 0.983 0.932 0.624
P1 0.485 0.436 0.732
O1 0.990 0.958 0.390

Its formation energy from raw total energies is -1.30 eV per atom. As for the volume: 160.25 Å³/cell. Its total energy is -4.70 eV/atom.